No. 1
The following is a DFT calculation (GGA-PBE) of an optimized crystal structure of Er2SnPd.

Calculated formation energy = -0.773 eV per atom

Lattice parameters (Å, degrees): 3.5329 3.5329 7.5615 90.00 90.00 90.00
Last column: nearest neighbours and their distance in Å.
Space group P4/mmm (No. 123)
Unique sites:
Er 0.0000 0.0000 0.2225 (multiplicity 2)  4 Pd 3.01, 4 Sn 3.26, 1 Er 3.37
Sn 0.5000 0.5000 0.5000 (multiplicity 1)  8 Er 3.26, 4 Sn 3.53
Pd 0.5000 0.5000 0.0000 (multiplicity 1)  8 Er 3.01



No. 2
The following is a DFT calculation (GGA-PBE) of an optimized crystal structure of ErSnPd3.

Energy above the most stable polymorph in this dataset = 0.0000 eV per atom
Calculated formation energy = -0.812 eV per atom

Lattice parameters (Å, degrees): 4.9667 15.0243 4.9462 90.00 90.00 90.00
Last column: nearest neighbours and their distance in Å.
Space group Cmcm (No. 63)
Unique sites:
Er 0.0000 0.1453 0.2500 (multiplicity 4)  9 Pd 2.83-2.99
Sn 0.0000 0.3633 0.2500 (multiplicity 4)  9 Pd 2.78-3.03
Pd 0.0000 0.0534 0.7500 (multiplicity 4)  2 Sn 2.78, 3 Er 2.83-2.99, 5 Pd 2.94-2.99
Pd 0.0000 0.2527 0.7500 (multiplicity 4)  4 Er 2.92-2.95, 2 Pd 2.95-2.99, 4 Sn 2.98-3.03
Pd 0.0000 0.4490 0.7500 (multiplicity 4)  3 Sn 2.79-2.82, 2 Er 2.86, 5 Pd 2.91-2.95



No. 3
The following is a DFT calculation (GGA-PBE) of an optimized crystal structure of Er12SnPd6.

Energy above the most stable polymorph in this dataset = 0.1180 eV per atom
Calculated formation energy = -0.551 eV per atom

Lattice parameters (Å, degrees): 14.0213 14.0213 8.8857 90.00 90.00 120.00
Last column: nearest neighbours and their distance in Å.
Space group R-3 (No. 148, hexagonal axes)
Unique sites:
Er 0.0400 0.2535 0.4272 (multiplicity 18)  3 Pd 2.75-2.88
Er 0.0578 0.1767 0.8242 (multiplicity 18)  3 Pd 2.77-2.99
Sn 0.0000 0.0000 0.5000 (multiplicity 3)  12 Er 3.37-3.62
Pd 0.0714 0.4997 0.7799 (multiplicity 18)  6 Er 2.75-2.99



No. 4
The following is a DFT calculation (GGA-PBE) of an optimized crystal structure of ErSn3Pd12.

Calculated formation energy = -0.606 eV per atom

Lattice parameters (Å, degrees): 4.0614 4.0614 16.1859 90.00 90.00 90.00
Last column: nearest neighbours and their distance in Å.
Space group P4/mmm (No. 123)
Unique sites:
Er 0.0000 0.0000 0.0000 (multiplicity 1)  12 Pd 2.87-2.91
Sn 0.0000 0.0000 0.2518 (multiplicity 2)  12 Pd 2.84-2.87
Sn 0.0000 0.0000 0.5000 (multiplicity 1)  12 Pd 2.86-2.87
Pd 0.0000 0.5000 0.1289 (multiplicity 4)  2 Sn 2.84, 8 Pd 2.85-2.91, 2 Er 2.91
Pd 0.0000 0.5000 0.3758 (multiplicity 4)  8 Pd 2.85-2.87, 4 Sn 2.86
Pd 0.5000 0.5000 0.0000 (multiplicity 1)  4 Er 2.87, 8 Pd 2.91
Pd 0.5000 0.5000 0.2526 (multiplicity 2)  8 Pd 2.85, 4 Sn 2.87
Pd 0.5000 0.5000 0.5000 (multiplicity 1)  8 Pd 2.86, 4 Sn 2.87



No. 5
The following is a DFT calculation (GGA-PBE) of an optimized crystal structure of Er2Sn5Pd3.

Calculated formation energy = -0.653 eV per atom

Lattice parameters (Å, degrees): 4.4611 26.7721 7.4199 90.00 90.00 90.00
Last column: nearest neighbours and their distance in Å.
Space group Cmc2_1 (No. 36)
Unique sites:
Er 0.0000 0.0240 0.0000 (multiplicity 4)  3 Pd 2.88-3.10, 2 Sn 3.18
Er 0.0000 0.3271 0.9730 (multiplicity 4)  8 Sn 3.18-3.55, 2 Pd 3.30
Sn 0.0000 0.0968 0.6264 (multiplicity 4)  3 Pd 2.68-2.76
Sn 0.0000 0.2037 0.1754 (multiplicity 4)  4 Pd 2.70-2.84
Sn 0.0000 0.2102 0.7465 (multiplicity 4)  3 Pd 2.73-2.81
Sn 0.0000 0.3809 0.5012 (multiplicity 4)  4 Pd 2.80-2.94
Sn 0.0000 0.4522 0.8386 (multiplicity 4)  4 Pd 2.71-2.86
Pd 0.0000 0.1053 0.2551 (multiplicity 4)  6 Sn 2.70-2.94, 1 Er 2.88
Pd 0.0000 0.2767 0.4532 (multiplicity 4)  7 Sn 2.73-2.84
Pd 0.0000 0.4516 0.2234 (multiplicity 4)  5 Sn 2.68-2.86



No. 6
The following is a DFT calculation (GGA-PBE) of an optimized crystal structure of Er2SnPd4.

Energy above the most stable polymorph in this dataset = 0.0000 eV per atom
Calculated formation energy = -0.816 eV per atom

Lattice parameters (Å, degrees): 7.9548 4.5717 8.1150 90.00 108.75 90.00
Last column: nearest neighbours and their distance in Å.
Space group C2/m (No. 12)
Unique sites:
Er 0.0719 0.0000 0.2154 (multiplicity 4)  10 Pd 2.96-3.20, 1 Er 3.31
Sn 0.0000 0.5000 0.5000 (multiplicity 2)  6 Pd 2.76
Pd 0.1729 0.5000 0.0198 (multiplicity 4)  4 Pd 2.66-2.92
Pd 0.2005 0.0000 0.6007 (multiplicity 4)  3 Sn 2.76, 4 Pd 2.92-3.08, 4 Er 2.96-3.00



No. 7
The following is a DFT calculation (GGA-PBE) of an optimized crystal structure of ErSnPd3.

Energy above the most stable polymorph in this dataset = 0.1048 eV per atom
Calculated formation energy = -0.707 eV per atom

Lattice parameters (Å, degrees): 4.6451 6.3002 6.9405 90.00 109.49 90.00
Last column: nearest neighbours and their distance in Å.
Space group P2_1/m (No. 11)
Unique sites:
Er 0.1119 0.2500 0.2228 (multiplicity 2)  8 Pd 2.80-3.12
Sn 0.1465 0.7500 0.2931 (multiplicity 2)  8 Pd 2.75-2.95
Pd 0.3172 0.0025 0.6351 (multiplicity 4)  3 Sn 2.75-2.84, 4 Pd 2.77-2.95, 2 Er 2.96
Pd 0.4935 0.2500 0.9846 (multiplicity 2)  4 Pd 2.77-2.95, 2 Er 2.80, 2 Sn 2.94-2.95



No. 8
The following is a DFT calculation (GGA-PBE) of an optimized crystal structure of Er6SnPd2.

Calculated formation energy = -0.612 eV per atom

Lattice parameters (Å, degrees): 9.3718 9.6639 10.3861 90.00 90.00 90.00
Last column: nearest neighbours and their distance in Å.
Space group Immm (No. 71)
Unique sites:
Er 0.0000 0.2004 0.2367 (multiplicity 8)  1 Pd 2.82, 1 Sn 3.13
Er 0.1983 0.5000 0.1727 (multiplicity 8)  3 Pd 2.75-2.99
Er 0.2103 0.3170 0.5000 (multiplicity 8)  3 Pd 2.99-3.13, 1 Sn 3.24
Sn 0.0000 0.0000 0.0000 (multiplicity 2)  8 Er 3.13-3.24, 2 Pd 3.32
Sn 0.0000 0.0000 0.5000 (multiplicity 2)  12 Er 3.35-3.64
Pd 0.0000 0.3436 0.0000 (multiplicity 4)  8 Er 2.82-3.13, 1 Pd 3.02
Pd 0.0000 0.5000 0.3672 (multiplicity 4)  6 Er 2.75-2.99, 1 Pd 2.76



No. 9
The following is a DFT calculation (GGA-PBE) of an optimized crystal structure of ErSnPd2.

Calculated formation energy = -0.767 eV per atom

Lattice parameters (Å, degrees): 4.5992 4.5992 3.7189 90.00 90.00 90.00
Last column: nearest neighbours and their distance in Å.
Space group P4/mmm (No. 123)
Unique sites:
Er 0.0000 0.0000 0.0000 (multiplicity 1)  8 Pd 2.96, 4 Sn 3.25
Sn 0.5000 0.5000 0.0000 (multiplicity 1)  8 Pd 2.96, 4 Er 3.25
Pd 0.0000 0.5000 0.5000 (multiplicity 2)  4 Sn 2.96, 4 Er 2.96, 4 Pd 3.25



No. 10
The following is a DFT calculation (GGA-PBE) of an optimized crystal structure of ErSn7Pd4.

Calculated formation energy = -0.248 eV per atom

Lattice parameters (Å, degrees): 12.8467 5.4634 10.1871 90.00 128.15 90.00
Last column: nearest neighbours and their distance in Å.
Space group C2/m (No. 12)
Unique sites:
Er 0.0000 0.0000 0.0000 (multiplicity 2)  2 Sn 2.73
Sn 0.0000 0.5000 0.0000 (multiplicity 2)  4 Pd 2.66-2.78, 2 Er 2.73
Sn 0.1059 0.0000 0.3764 (multiplicity 4)  3 Pd 2.62-2.92
Sn 0.1569 0.5000 0.6347 (multiplicity 4)  4 Pd 2.74-2.93
Sn 0.1981 0.0000 0.9051 (multiplicity 4)  1 Pd 2.64
Pd 0.0067 0.5000 0.2781 (multiplicity 4)  5 Sn 2.74-2.92, 1 Pd 2.86
Pd 0.2378 0.5000 0.2966 (multiplicity 4)  5 Sn 2.62-2.93, 1 Pd 2.86



No. 11
The following is a DFT calculation (GGA-PBE) of an optimized crystal structure of ErSnPd5.

Energy above the most stable polymorph in this dataset = 0.0000 eV per atom
Calculated formation energy = -0.724 eV per atom

Lattice parameters (Å, degrees): 4.1088 4.1088 7.5782 90.00 90.00 90.00
Last column: nearest neighbours and their distance in Å.
Space group P4/mmm (No. 123)
Unique sites:
Er 0.0000 0.0000 0.0000 (multiplicity 1)  12 Pd 2.91
Sn 0.5000 0.5000 0.5000 (multiplicity 1)  8 Pd 2.69
Pd 0.0000 0.5000 0.2716 (multiplicity 4)  2 Sn 2.69, 6 Pd 2.91, 2 Er 2.91
Pd 0.5000 0.5000 0.0000 (multiplicity 1)  4 Er 2.91, 8 Pd 2.91



No. 12
The following is a DFT calculation (GGA-PBE) of an optimized crystal structure of ErTmSnPd.

Calculated formation energy = -0.748 eV per atom

Lattice parameters (Å, degrees): 7.2157 7.2157 7.2157 90.00 90.00 90.00
Last column: nearest neighbours and their distance in Å.
Space group F-43m (No. 216)
Unique sites:
Er 0.0000 0.0000 0.0000 (multiplicity 4)  4 Sn 3.12, 4 Pd 3.12
Tm 0.0000 0.0000 0.5000 (multiplicity 4)  4 Sn 3.12, 4 Pd 3.12
Sn 0.2500 0.2500 0.7500 (multiplicity 4)  4 Er 3.12, 4 Tm 3.12
Pd 0.2500 0.2500 0.2500 (multiplicity 4)  4 Er 3.12, 4 Tm 3.12